1.
This record from Alexandria via LeMat-Bulk describes a geometry-optimized PmMoRu2 structure. The functional is PBE.

Structure (extended XYZ):
```
4
Lattice="-1.726 -2.597 0.376 1.040 -0.264 2.952 -5.631 4.084 2.350" Properties=species:S:1:pos:R:3 pbc="T T T"
Ru -4.515 3.275 1.885
Ru -1.116 0.810 0.466
Mo -0.343 -1.430 1.664
Pm -3.159 0.612 2.839
```

Summary:
Its crystal system is tetragonal. Its space group is P4/mmm (123). As for the density of states at the Fermi level: 4.506 states/eV per cell. The volume is 72 Å³ per cell. The total DFT energy (no corrections) is -8.495 eV/atom.

***

2.
This record from Alexandria via LeMat-Bulk describes a geometry-optimized DyHo6Th3 structure. The functional is PBE.

Structure (extended XYZ):
```
10
Lattice="8.670 0.000 4.601 3.114 8.091 4.601 2.154 1.479 6.411" Properties=species:S:1:pos:R:3 pbc="T T T"
Dy 10.985 7.543 10.708
Ho 10.369 5.147 8.343
Ho 5.651 7.828 6.816
Ho 6.462 2.462 5.291
Ho 3.726 4.534 6.918
Ho 8.489 1.849 8.467
Ho 7.652 7.259 9.994
Th 6.170 4.236 9.312
Th 7.507 5.155 6.792
Th 2.679 1.839 5.422
```

Summary:
Its crystal system is trigonal. Its space group is R-3 (148). The calculation puts the distance to the lowest polymorph of the same formula at 275.8 meV/atom. As for the density of states at the Fermi level: 19.215 states/eV per cell. The volume is 332 Å³ per cell.

***

3.
This record from Alexandria via LeMat-Bulk describes a geometry-optimized Tb2Ho5Tl structure. The functional is PBE.

Structure (extended XYZ):
```
8
Lattice="-2.861 -1.543 -1.398 3.857 -4.690 -2.714 -1.579 -2.767 10.687" Properties=species:S:1:pos:R:3 pbc="T T T"
Tb 1.418 -5.156 2.775
Tb -2.001 -3.844 3.799
Ho 1.928 -2.345 -1.357
Ho -0.709 -3.291 0.601
Ho 0.126 -5.710 5.973
Ho 1.218 -5.634 -0.755
Ho -1.801 -3.366 7.329
Tl 0.000 0.000 0.000
```

Summary:
Its crystal system is monoclinic. Its space group is C2/m (12). The calculation puts the distance to the lowest polymorph of the same formula at 64.3 meV/atom. As for the density of states at the Fermi level: 11.350 states/eV per cell. The volume is 247 Å³ per cell.

***

4.
This record from Alexandria via LeMat-Bulk describes a geometry-optimized Y2As2I structure. The functional is PBE.

Structure (extended XYZ):
```
10
Lattice="8.199 0.000 0.000 0.000 8.199 0.000 0.000 0.000 3.807" Properties=species:S:1:pos:R:3 pbc="T T T"
I 0.000 0.000 0.000
I 4.099 4.099 0.000
Y 2.775 6.874 0.000
Y 6.874 5.424 0.000
Y 5.424 1.324 0.000
Y 1.324 2.775 0.000
As 1.050 5.149 1.903
As 5.149 7.149 1.903
As 7.149 3.050 1.903
As 3.050 1.050 1.903
```

Summary:
Its crystal system is tetragonal. Its space group is P4/mbm (127). The calculation puts the distance to the lowest polymorph of the same formula at 0.0 meV/atom. As for the density of states at the Fermi level: 14.553 states/eV per cell. The volume is 256 Å³ per cell. For the formation energy from raw total energies, the calculation gives -5.367 eV/f.u.

***

> Look up the volume of the third one.

247 Å³ per cell